The following is a GGA-PBE calculation of a relaxed structure of Dy2Ta3Ge4, from Alexandria.

Output
- Formation energy: -562 kJ/mol of formula units
- Symmetry: P2_1/c
- Total moment: 0.0 μB per formula unit

Cell and atoms, written as POSCAR:
```
Dy2Ta3Ge4
1.0
7.153 0.000 0.000
0.000 7.150 0.000
-2.353 0.000 6.628
Dy Ta Ge
4 6 8
Direct
0.186 0.171 0.058
0.186 0.329 0.558
0.814 0.671 0.442
0.814 0.829 0.942
0.256 0.674 0.246
0.256 0.826 0.746
0.500 0.000 0.500
0.500 0.500 0.000
0.744 0.174 0.254
0.744 0.326 0.754
0.085 0.537 0.856
0.085 0.963 0.356
0.490 0.132 0.865
0.490 0.368 0.365
0.510 0.632 0.635
0.510 0.868 0.135
0.915 0.037 0.644
0.915 0.463 0.144
```


The following is a GGA-PBE calculation of a relaxed structure of Pr4Ir, from Alexandria.

Output
- Formation energy: -68 kJ/mol of formula units
- Relative energy among the computed polymorphs: 15.5 kJ per mole of atoms
- Symmetry: Pm-3m
- Total moment: 1.2 μB per formula unit

Cell and atoms, written as POSCAR:
```
Pr4Ir
1.0
5.681 0.000 0.000
0.000 5.681 0.000
0.000 0.000 5.681
Pr Ir
4 1
Direct
0.000 0.000 0.000
0.000 0.500 0.500
0.500 0.000 0.500
0.500 0.500 0.000
0.500 0.500 0.500
```


The following is a GGA-PBE calculation of a relaxed structure of Ca2LaGa, from Alexandria.

Output
- Formation energy: -71 kJ/mol of formula units
- Relative energy among the computed polymorphs: 3.9 kJ per mole of atoms
- Symmetry: P4/mmm
- Total moment: 0.0 μB per formula unit

Cell and atoms, written as POSCAR:
```
Ca2LaGa
1.0
3.598 0.000 0.000
0.000 3.598 0.000
0.000 0.000 9.907
Ca La Ga
2 1 1
Direct
0.000 0.000 0.193
0.000 0.000 0.807
0.500 0.500 0.500
0.500 0.500 0.000
```


The following is a GGA-PBE calculation of a relaxed structure of Se2IBrN, from Alexandria.

Output
- Relative energy among the computed polymorphs: 0.0 kJ per mole of atoms
- Symmetry: P4/mmm
- Total moment: 0.0 μB per formula unit
- Raw formation energy: 1.09 eV per atom

Cell and atoms, written as POSCAR:
```
Se2IBrN
1.0
4.767 0.000 0.000
0.000 4.767 0.000
0.000 0.000 4.554
Se I Br N
2 1 1 1
Direct
0.000 0.500 0.000
0.500 0.000 0.000
0.000 0.000 0.500
0.500 0.500 0.500
0.500 0.500 0.000
```


The following is a GGA-PBE calculation of a relaxed structure of Ho4Tm2Se9, from Alexandria.

Output
- Symmetry: P-1
- Total moment: 0.0 μB per formula unit
- Raw formation energy: -1.85 eV per atom

Cell and atoms, written as POSCAR:
```
Ho4Tm2Se9
1.0
7.142 0.000 0.000
3.569 6.188 0.000
0.009 -0.003 19.371
Ho Tm Se
8 4 18
Direct
0.166 0.167 0.181
0.166 0.167 0.986
0.167 0.166 0.485
0.168 0.166 0.681
0.832 0.834 0.319
0.833 0.834 0.515
0.834 0.833 0.014
0.834 0.833 0.819
0.499 0.501 0.153
0.500 0.499 0.347
0.500 0.501 0.653
0.501 0.499 0.847
0.141 0.528 0.417
0.143 0.830 0.916
0.169 0.473 0.083
0.170 0.859 0.583
0.196 0.500 0.750
0.196 0.805 0.250
0.472 0.171 0.583
0.472 0.859 0.083
0.499 0.196 0.250
0.501 0.804 0.750
0.528 0.141 0.917
0.528 0.829 0.417
0.804 0.195 0.750
0.804 0.500 0.250
0.830 0.141 0.417
0.831 0.527 0.917
0.857 0.170 0.084
0.859 0.472 0.583
```


The following is a GGA-PBE calculation of a relaxed structure of SnAsSe2Br, from Alexandria.

Output
- Relative energy among the computed polymorphs: 42.7 kJ per mole of atoms
- Symmetry: P4/mmm
- Total moment: 1.0 μB per formula unit
- Raw formation energy: 0.52 eV per atom

Cell and atoms, written as POSCAR:
```
SnAsSe2Br
1.0
5.370 0.000 0.000
0.000 5.370 0.000
0.000 0.000 5.353
Sn As Se Br
1 1 2 1
Direct
0.000 0.000 0.000
0.500 0.500 0.500
0.000 0.500 0.000
0.500 0.000 0.000
0.000 0.000 0.500
```


The following is a GGA-PBE calculation of a relaxed structure of HfTlIr2, from Alexandria.

Output
- Formation energy: 74 kJ/mol of formula units
- Symmetry: I-42d
- Total moment: 0.0 μB per formula unit

Cell and atoms, written as POSCAR:
```
HfTlIr2
1.0
-3.685 3.685 2.942
3.685 -3.685 2.942
3.685 3.685 -2.942
Hf Tl Ir
2 2 4
Direct
0.000 0.000 0.000
0.750 0.250 0.500
0.250 0.750 0.500
0.500 0.500 0.000
0.100 0.625 0.975
0.375 0.350 0.475
0.650 0.125 0.025
0.875 0.900 0.525
```


The following is a GGA-PBE calculation of a relaxed structure of La5Dy3Bi8, from Alexandria.

Output
- Formation energy: -1505 kJ/mol of formula units
- Symmetry: R-3m
- Total moment: 0.0 μB per formula unit

Cell and atoms, written as POSCAR:
```
La5Dy3Bi8
1.0
4.625 2.670 7.539
-4.625 2.670 7.539
0.000 -5.340 7.539
La Dy Bi
5 3 8
Direct
0.000 0.000 0.000
0.000 0.500 0.500
0.500 0.000 0.500
0.500 0.500 0.000
0.500 0.500 0.500
0.000 0.000 0.500
0.000 0.500 0.000
0.500 0.000 0.000
0.241 0.750 0.750
0.246 0.246 0.246
0.250 0.250 0.759
0.250 0.759 0.250
0.750 0.241 0.750
0.750 0.750 0.241
0.754 0.754 0.754
0.759 0.250 0.250
```


The following is a GGA-PBE calculation of a relaxed structure of Ag2Bi2Au, from Alexandria.

Output
- Formation energy: 85 kJ/mol of formula units
- Relative energy among the computed polymorphs: 6.5 kJ per mole of atoms
- Symmetry: I4/mmm
- Total moment: 0.0 μB per formula unit

Cell and atoms, written as POSCAR:
```
Ag2Bi2Au
1.0
-1.918 1.918 8.389
1.918 -1.918 8.389
1.918 1.918 -8.389
Ag Bi Au
2 2 1
Direct
0.250 0.750 0.500
0.750 0.250 0.500
0.101 0.101 0.000
0.899 0.899 0.000
0.500 0.500 0.000
```


The following is a GGA-PBE calculation of a relaxed structure of ZrAl3CuAu, from Alexandria.

Output
- Formation energy: -112 kJ/mol of formula units
- Symmetry: Cmcm
- Total moment: 0.0 μB per formula unit

Cell and atoms, written as POSCAR:
```
ZrAl3CuAu
1.0
2.765 -6.633 0.000
2.765 6.633 0.000
0.000 0.000 5.648
Zr Al Cu Au
2 6 2 2
Direct
0.184 0.816 0.750
0.816 0.184 0.250
0.237 0.237 0.000
0.237 0.237 0.500
0.352 0.648 0.250
0.648 0.352 0.750
0.763 0.763 0.000
0.763 0.763 0.500
0.387 0.613 0.750
0.613 0.387 0.250
0.154 0.846 0.250
0.846 0.154 0.750
```


The following is a GGA-PBE calculation of a relaxed structure of SrCdHgAu, from Alexandria.

Output
- Formation energy: -170 kJ/mol of formula units
- Relative energy among the computed polymorphs: 0.0 kJ per mole of atoms
- Symmetry: F-43m
- Total moment: 0.0 μB per formula unit

Cell and atoms, written as POSCAR:
```
SrCdHgAu
1.0
0.000 3.710 3.710
3.710 0.000 3.710
3.710 3.710 0.000
Sr Cd Hg Au
1 1 1 1
Direct
0.000 0.000 0.000
0.500 0.500 0.500
0.250 0.250 0.250
0.750 0.750 0.750
```


The following is a GGA-PBE calculation of a relaxed structure of ZnFe3, from Alexandria.

Output
- Formation energy: 55 kJ/mol of formula units
- Symmetry: P-6m2
- Total moment: 7.4 μB per formula unit

Cell and atoms, written as POSCAR:
```
ZnFe3
1.0
2.563 0.000 0.000
-1.282 2.220 0.000
0.000 0.000 8.688
Zn Fe
1 3
Direct
0.000 0.000 0.000
0.000 0.000 0.500
0.667 0.333 0.252
0.667 0.333 0.748
```


The following is a GGA-PBE calculation of a relaxed structure of Pa2Si4PdRh3, from Alexandria.

Output
- Symmetry: P-4m2
- Total moment: 0.0 μB per formula unit
- Raw formation energy: -0.92 eV per atom

Cell and atoms, written as POSCAR:
```
Pa2Si4PdRh3
1.0
4.122 0.000 0.000
0.000 4.122 0.000
0.000 0.000 9.893
Pa Si Pd Rh
2 4 1 3
Direct
0.000 0.500 0.245
0.500 0.000 0.755
0.000 0.000 0.000
0.000 0.500 0.637
0.500 0.000 0.363
0.500 0.500 0.000
0.000 0.000 0.500
0.000 0.500 0.875
0.500 0.000 0.125
0.500 0.500 0.500
```


The following is a GGA-PBE calculation of a relaxed structure of YMgGa2Pt4, from Alexandria.

Output
- Formation energy: -661 kJ/mol of formula units
- Symmetry: R-3m
- Total moment: 0.0 μB per formula unit

Cell and atoms, written as POSCAR:
```
YMgGa2Pt4
1.0
2.178 1.257 8.466
-2.178 1.257 8.466
0.000 -2.515 8.466
Y Mg Ga Pt
1 1 2 4
Direct
0.000 0.000 0.000
0.500 0.500 0.500
0.244 0.244 0.244
0.756 0.756 0.756
0.131 0.131 0.131
0.399 0.399 0.399
0.601 0.601 0.601
0.869 0.869 0.869
```


The following is a GGA-PBE calculation of a relaxed structure of Al2HgTe2, from Alexandria.

Output
- Relative energy among the computed polymorphs: 0.0 kJ per mole of atoms
- Symmetry: I4/mmm
- Total moment: 0.0 μB per formula unit
- Raw formation energy: -0.12 eV per atom

Cell and atoms, written as POSCAR:
```
Al2HgTe2
1.0
-2.663 2.663 4.722
2.663 -2.663 4.722
2.663 2.663 -4.722
Al Hg Te
2 1 2
Direct
0.140 0.140 0.000
0.860 0.860 0.000
0.500 0.500 0.000
0.250 0.750 0.500
0.750 0.250 0.500
```


The following is a GGA-PBE calculation of a relaxed structure of Sm8GeTe4S3, from Alexandria.

Output
- Symmetry: R-3m
- Total moment: 0.0 μB per formula unit
- Raw formation energy: -1.61 eV per atom

Cell and atoms, written as POSCAR:
```
Sm8GeTe4S3
1.0
4.197 2.423 7.184
-4.197 2.423 7.184
0.000 -4.846 7.184
Sm Ge Te S
8 1 4 3
Direct
0.235 0.739 0.739
0.236 0.236 0.236
0.261 0.261 0.765
0.261 0.765 0.261
0.739 0.235 0.739
0.739 0.739 0.235
0.764 0.764 0.764
0.765 0.261 0.261
0.500 0.500 0.500
0.000 0.000 0.000
0.000 0.500 0.500
0.500 0.000 0.500
0.500 0.500 0.000
0.000 0.000 0.500
0.000 0.500 0.000
0.500 0.000 0.000
```


The following is a GGA-PBE calculation of a relaxed structure of GaFe4Mo, from Alexandria.

Output
- Formation energy: 6 kJ/mol of formula units
- Symmetry: F-43m
- Total moment: 6.1 μB per formula unit

Cell and atoms, written as POSCAR:
```
GaFe4Mo
1.0
0.000 3.340 3.340
3.340 0.000 3.340
3.340 3.340 0.000
Ga Fe Mo
1 4 1
Direct
0.000 0.000 0.000
0.126 0.625 0.625
0.625 0.126 0.625
0.625 0.625 0.126
0.625 0.625 0.625
0.250 0.250 0.250
```


The following is a GGA-PBE calculation of a relaxed structure of NpCu2H8Ir, from Alexandria.

Output
- Symmetry: P-1
- Total DFT energy (no corrections): -57.54 eV/cell
- Total moment: 4.0 μB per formula unit

Cell and atoms, written as POSCAR:
```
NpCu2H8Ir
1.0
4.492 0.000 0.000
0.099 4.533 0.000
0.211 1.011 5.173
Np Cu H Ir
1 2 8 1
Direct
0.000 0.000 0.000
0.493 0.549 0.765
0.507 0.451 0.235
0.098 0.557 0.798
0.205 0.180 0.538
0.282 0.729 0.366
0.490 0.198 0.047
0.510 0.802 0.953
0.718 0.271 0.634
0.795 0.820 0.462
0.902 0.443 0.202
0.000 0.500 0.500
```


The following is a GGA-PBE calculation of a relaxed structure of Na3LiZn, from Alexandria.

Output
- Formation energy: 111 kJ/mol of formula units
- Relative energy among the computed polymorphs: 0.0 kJ per mole of atoms
- Symmetry: Pm-3m
- Total moment: 0.0 μB per formula unit

Cell and atoms, written as POSCAR:
```
Na3LiZn
1.0
5.646 0.000 0.000
0.000 5.646 0.000
0.000 0.000 5.646
Na Li Zn
3 1 1
Direct
0.000 0.000 0.500
0.000 0.500 0.000
0.500 0.000 0.000
0.500 0.500 0.500
0.000 0.000 0.000
```


The following is a GGA-PBE calculation of a relaxed structure of BTeAu3, from Alexandria.

Output
- Relative energy among the computed polymorphs: 91.5 kJ per mole of atoms
- Symmetry: Pm-3m
- Total moment: 0.0 μB per formula unit
- Raw formation energy: 1.44 eV per atom

Cell and atoms, written as POSCAR:
```
BTeAu3
1.0
5.297 0.000 0.000
0.000 5.297 0.000
0.000 0.000 5.297
B Te Au
1 1 3
Direct
0.000 0.000 0.000
0.500 0.500 0.500
0.000 0.500 0.500
0.500 0.000 0.500
0.500 0.500 0.000
```